! K3CrO3 GGA+U relaxed; values from VASP
! * M_tot: 3.0 μB per formula unit
! * SG: P2_1/c, No. 14
! * VASP energy: -5.130 eV/atom
&SYSTEM
  ibrav = 0, nat = 28, ntyp = 3
/
ATOMIC_SPECIES
K 39.10 K.upf
Cr 52.00 Cr.upf
O 16.00 O.upf
CELL_PARAMETERS angstrom
6.6834 0.0000 0.0000
0.0000 7.1899 -0.4766
0.0000 0.0234 11.0873
ATOMIC_POSITIONS angstrom
K 5.8848 6.8676 8.8098
K 4.1403 6.8559 3.2661
K 1.3242 4.4420 7.2986
K 4.5615 4.7117 6.0692
K 2.0175 4.4303 1.7549
K 5.4636 4.7000 0.5255
K 1.2198 2.5133 10.0853
K 4.6659 2.7830 8.8558
K 2.1219 2.5016 4.5416
K 5.3592 2.7713 3.3122
K 2.5431 0.3574 7.3446
K 0.7986 0.3457 1.8010
Cr 2.7194 6.0564 9.9194
Cr 0.6223 6.0447 4.3757
Cr 6.0610 1.1686 6.2351
Cr 3.9640 1.1569 0.6914
O 6.6706 6.4551 6.1938
O 3.3545 6.4434 0.6501
O 1.0527 5.2747 10.3034
O 2.2890 5.2630 4.7597
O 3.6436 5.2370 8.5221
O 6.3815 5.2253 2.9784
O 0.3019 1.9880 7.6323
O 3.0398 1.9763 2.0887
O 4.3944 1.9503 5.8510
O 5.6307 1.9386 0.3074
O 3.3289 0.7699 9.9606
O 0.0128 0.7582 4.4170